{
  "formula": "ZnRuS2",
  "functional": "PBE",
  "state": "optimized geometry",
  "crystal_system": "trigonal",
  "formation_energy_uncorrected_ev_per_atom": -0.22,
  "sg": "R-3m (166)",
  "cell": [[-6.113, -3.172, -1.634], [-4.658, -5.236, 0.996], [-6.469, -2.192, 1.859]],
  "species": ["Ru", "Zn", "S", "S"],
  "fractional_positions": [[0.500, 0.500, 0.500], [0.000, 0.000, 0.000], [0.111, 0.111, 0.111], [0.889, 0.889, 0.889]]
}